(1)
VASP calculation (PBE) on crystalline TlGaHgI4 at its relaxed geometry.

Formation energy without anion corrections ... -0.45 eV per atom
Fermi-level density of states ... 0.0 states/eV/f.u.
Magnetization ... 0.000 μB/atom

abc: 8.234 8.234 11.402
angles: 79.50 79.50 85.53
Element x y z (fractional)
Tl1 0.231 0.231 0.934
Tl2 0.769 0.769 0.066
Ga1 0.657 0.657 0.732
Ga2 0.343 0.343 0.268
Hg1 0.004 0.004 0.205
Hg2 0.996 0.996 0.795
I1 0.182 0.182 0.460
I2 0.818 0.818 0.540
I3 0.142 0.510 0.131
I4 0.542 0.542 0.311
I5 0.490 0.858 0.869
I6 0.510 0.142 0.131
I7 0.458 0.458 0.689
I8 0.858 0.490 0.869

(2)
VASP calculation (PBE) on crystalline TlGa2HgI8 at its relaxed geometry.

Formation energy without anion corrections ... -0.42 eV per atom
Fermi-level density of states ... 6.1 states/eV/f.u.
Magnetization ... 0.000 μB/atom

abc: 7.569 7.569 11.070
angles: 90.00 90.00 120.00
Element x y z (fractional)
Tl1 0.000 0.000 0.000
Ga1 0.667 0.333 0.225
Ga2 0.333 0.667 0.775
Hg1 0.000 0.000 0.500
I1 0.333 0.667 0.008
I2 0.332 0.316 0.299
I3 0.684 0.016 0.299
I4 0.667 0.333 0.992
I5 0.316 0.984 0.701
I6 0.668 0.684 0.701
I7 0.016 0.332 0.701
I8 0.984 0.668 0.299

(3)
VASP calculation (PBE) on crystalline TlGaHg2I at its relaxed geometry.

Formation energy without anion corrections ... -0.13 eV per atom
Fermi-level density of states ... 1.6 states/eV/f.u.
Magnetization ... 0.000 μB/atom
Polymorph energy (0 for the lowest one) ... 0.0 meV/atom

abc: 5.330 5.330 5.799
angles: 90.00 90.00 90.00
Element x y z (fractional)
I1 0.500 0.500 0.500
Tl1 0.000 0.000 0.500
Hg1 0.000 0.500 0.000
Hg2 0.500 0.000 0.000
Ga1 0.000 0.000 0.000

(4)
VASP calculation (PBE) on crystalline UGaHgI6 at its relaxed geometry.

Formation energy without anion corrections ... -0.59 eV per atom
Magnetization ... 0.111 μB/atom

abc: 8.023 8.023 17.516
angles: 90.00 90.00 120.00
Last column: magnetic moment on the atom in μB.
Element x y z (fractional)
U1 0.667 0.333 0.250  1.41
U2 0.333 0.667 0.750  1.41
Ga1 0.333 0.667 0.250  -0.02
Ga2 0.667 0.333 0.750  -0.02
Hg1 0.000 0.000 0.000  -0.01
Hg2 0.000 0.000 0.500  -0.01
I1 0.651 0.626 0.154  -0.05
I2 0.975 0.349 0.154  -0.05
I3 0.349 0.975 0.654  -0.05
I4 0.025 0.651 0.846  -0.05
I5 0.374 0.349 0.346  -0.05
I6 0.975 0.626 0.346  -0.05
I7 0.626 0.975 0.846  -0.05
I8 0.651 0.025 0.346  -0.05
I9 0.025 0.374 0.654  -0.05
I10 0.374 0.025 0.154  -0.05
I11 0.626 0.651 0.654  -0.05
I12 0.349 0.374 0.846  -0.05

(5)
VASP calculation (PBE) on crystalline ZnGaHg2I at its relaxed geometry.

Formation energy without anion corrections ... 0.02 eV per atom
Fermi-level density of states ... 3.4 states/eV/f.u.
Magnetization ... 0.000 μB/atom
Polymorph energy (0 for the lowest one) ... 29.1 meV/atom

abc: 5.425 5.425 4.987
angles: 90.00 90.00 90.00
Element x y z (fractional)
I1 0.500 0.500 0.500
Zn1 0.000 0.000 0.500
Hg1 0.000 0.500 0.000
Hg2 0.500 0.000 0.000
Ga1 0.000 0.000 0.000

(6)
VASP calculation (PBE) on crystalline Zn2Ga2HgI6 at its relaxed geometry.

Formation energy without anion corrections ... -0.36 eV per atom
Fermi-level density of states ... 0.0 states/eV/f.u.
Magnetization ... 0.000 μB/atom

abc: 8.580 9.524 9.708
angles: 121.64 89.94 63.10
Element x y z (fractional)
Zn1 0.137 0.724 0.783
Zn2 0.863 0.276 0.217
Ga1 0.850 0.302 0.850
Ga2 0.150 0.698 0.150
Hg1 0.500 0.000 0.500
I1 0.407 0.680 0.901
I2 0.091 0.318 0.097
I3 0.081 0.837 0.592
I4 0.909 0.682 0.903
I5 0.919 0.163 0.408
I6 0.593 0.320 0.099

(7)
VASP calculation (PBE) on crystalline ZnGaHg2I at its relaxed geometry.

Formation energy without anion corrections ... -0.01 eV per atom
Fermi-level density of states ... 1.4 states/eV/f.u.
Magnetization ... 0.000 μB/atom
Polymorph energy (0 for the lowest one) ... 0.0 meV/atom

abc: 5.277 5.277 5.344
angles: 90.00 90.00 90.00
Element x y z (fractional)
I1 0.500 0.500 0.500
Zn1 0.000 0.000 0.000
Hg1 0.000 0.500 0.000
Hg2 0.500 0.000 0.000
Ga1 0.000 0.000 0.500

(8)
VASP calculation (PBE) on crystalline In5GaHg7 at its relaxed geometry.

Fermi-level density of states ... 4.2 states/eV/f.u.
Raw total energy ... -1.397 eV per atom
Magnetization ... 0.000 μB/atom

abc: 6.194 8.494 8.494
angles: 61.73 68.62 68.62
Element x y z (fractional)
In1 0.589 0.969 0.342
In2 0.101 0.969 0.342
In3 0.589 0.342 0.969
In4 0.101 0.342 0.969
In5 0.807 0.693 0.693
Ga1 0.683 0.317 0.317
Hg1 0.469 0.531 0.531
Hg2 0.240 0.760 0.760
Hg3 0.046 0.143 0.765
Hg4 0.046 0.765 0.143
Hg5 0.142 0.358 0.358
Hg6 0.594 0.728 0.085
Hg7 0.594 0.085 0.728

(9)
VASP calculation (PBE) on crystalline In2Ga3Hg2 at its relaxed geometry.

Fermi-level density of states ... 1.8 states/eV/f.u.
Raw total energy ... -2.138 eV per atom
Magnetization ... 0.000 μB/atom

abc: 3.385 3.220 16.092
angles: 96.52 106.50 96.99
Element x y z (fractional)
In1 0.335 0.243 0.256
In2 0.665 0.757 0.744
Ga1 0.646 0.610 0.113
Ga2 0.354 0.390 0.887
Ga3 0.000 0.000 0.000
Hg1 0.885 0.235 0.581
Hg2 0.115 0.765 0.419

(10)
VASP calculation (PBE) on crystalline InGa4Hg at its relaxed geometry.

Fermi-level density of states ... 3.7 states/eV/f.u.
Magnetization ... 0.000 μB/atom
Polymorph energy (0 for the lowest one) ... 36.9 meV/atom

abc: 5.719 5.719 5.719
angles: 60.00 60.00 60.00
Element x y z (fractional)
Hg1 0.250 0.250 0.250
Ga1 0.625 0.625 0.126
Ga2 0.625 0.126 0.625
Ga3 0.625 0.625 0.625
Ga4 0.126 0.625 0.625
In1 0.000 0.000 0.000

(11)
VASP calculation (PBE) on crystalline In4GaHg9 at its relaxed geometry.

Fermi-level density of states ... 3.4 states/eV/f.u.
Raw total energy ... -1.158 eV per atom
Magnetization ... 0.000 μB/atom

abc: 9.569 9.569 9.698
angles: 90.00 90.00 120.00
Element x y z (fractional)
In1 0.124 0.247 0.250
In2 0.124 0.876 0.250
In3 0.753 0.876 0.250
In4 0.876 0.753 0.750
In5 0.876 0.124 0.750
In6 0.247 0.124 0.750
In7 0.000 0.000 0.000
In8 0.000 0.000 0.500
Ga1 0.667 0.333 0.250
Ga2 0.333 0.667 0.750
Hg1 0.795 0.589 0.050
Hg2 0.795 0.205 0.050
Hg3 0.411 0.205 0.050
Hg4 0.205 0.411 0.950
Hg5 0.205 0.795 0.950
Hg6 0.589 0.795 0.950
Hg7 0.205 0.411 0.550
Hg8 0.205 0.795 0.550
Hg9 0.589 0.795 0.550
Hg10 0.795 0.589 0.450
Hg11 0.795 0.205 0.450
Hg12 0.411 0.205 0.450
Hg13 0.459 0.917 0.250
Hg14 0.459 0.541 0.250
Hg15 0.083 0.541 0.250
Hg16 0.541 0.083 0.750
Hg17 0.541 0.459 0.750
Hg18 0.917 0.459 0.750

(12)
VASP calculation (PBE) on crystalline InGaHg6 at its relaxed geometry.

Fermi-level density of states ... 2.9 states/eV/f.u.
Raw total energy ... -0.906 eV per atom
Magnetization ... 0.000 μB/atom

abc: 4.582 4.582 9.915
angles: 90.00 90.00 90.00
Element x y z (fractional)
In1 0.000 0.000 0.000
Ga1 0.000 0.000 0.500
Hg1 0.500 0.500 0.000
Hg2 0.500 0.500 0.500
Hg3 0.500 0.000 0.260
Hg4 0.500 0.000 0.740
Hg5 0.000 0.500 0.260
Hg6 0.000 0.500 0.740

(13)
VASP calculation (PBE) on crystalline In2GaHg at its relaxed geometry.

Fermi-level density of states ... 2.0 states/eV/f.u.
Raw total energy ... -2.123 eV per atom
Magnetization ... 0.000 μB/atom

abc: 4.321 4.321 11.448
angles: 79.12 79.12 90.00
Element x y z (fractional)
Hg1 0.000 0.000 0.000
Hg2 0.750 0.250 0.500
Ga1 0.500 0.500 0.000
Ga2 0.250 0.750 0.500
In1 0.623 0.125 0.250
In2 0.127 0.625 0.250
In3 0.375 0.377 0.750
In4 0.875 0.873 0.750

(14)
VASP calculation (PBE) on crystalline In4GaHg12 at its relaxed geometry.

Fermi-level density of states ... 9.9 states/eV/f.u.
Raw total energy ... -0.871 eV per atom
Magnetization ... 0.000 μB/atom

abc: 9.976 9.976 9.976
angles: 109.47 109.47 109.47
Element x y z (fractional)
In1 0.500 0.000 0.000
In2 0.000 0.500 0.000
In3 0.000 0.000 0.500
In4 0.500 0.500 0.500
Ga1 0.000 0.000 0.000
Hg1 0.220 0.207 0.427
Hg2 0.793 0.573 0.780
Hg3 0.013 0.220 0.793
Hg4 0.793 0.013 0.220
Hg5 0.987 0.780 0.207
Hg6 0.207 0.427 0.220
Hg7 0.427 0.220 0.207
Hg8 0.573 0.780 0.793
Hg9 0.207 0.987 0.780
Hg10 0.220 0.793 0.013
Hg11 0.780 0.207 0.987
Hg12 0.780 0.793 0.573

(15)
VASP calculation (PBE) on crystalline In5Ga5Hg at its relaxed geometry.

Fermi-level density of states ... 5.0 states/eV/f.u.
Raw total energy ... -2.599 eV per atom
Magnetization ... 0.000 μB/atom

abc: 5.700 5.700 9.458
angles: 90.00 90.00 120.00
Element x y z (fractional)
In1 0.667 0.333 0.177
In2 0.667 0.333 0.823
In3 0.333 0.667 0.324
In4 0.333 0.667 0.676
In5 0.000 0.000 0.000
Ga1 0.355 0.177 0.500
Ga2 0.000 0.000 0.287
Ga3 0.823 0.645 0.500
Ga4 0.823 0.177 0.500
Ga5 0.000 0.000 0.713
Hg1 0.333 0.667 0.000

(16)
VASP calculation (PBE) on crystalline In6GaHg7 at its relaxed geometry.

Fermi-level density of states ... 4.8 states/eV/f.u.
Raw total energy ... -1.510 eV per atom
Magnetization ... 0.000 μB/atom

abc: 6.026 11.525 11.525
angles: 81.57 74.85 74.85
Element x y z (fractional)
In1 0.534 0.352 0.999
In2 0.115 0.999 0.352
In3 0.966 0.501 0.148
In4 0.385 0.148 0.501
In5 0.466 0.648 0.001
In6 0.885 0.001 0.648
In7 0.034 0.499 0.852
In8 0.615 0.852 0.499
In9 0.034 0.721 0.279
In10 0.966 0.279 0.721
In11 0.466 0.221 0.779
In12 0.534 0.779 0.221
Ga1 0.750 0.250 0.250
Ga2 0.250 0.750 0.750
Hg1 0.740 0.045 0.955
Hg2 0.260 0.955 0.045
Hg3 0.760 0.545 0.455
Hg4 0.240 0.455 0.545
Hg5 0.442 0.490 0.268
Hg6 0.799 0.268 0.490
Hg7 0.058 0.232 0.010
Hg8 0.701 0.010 0.232
Hg9 0.558 0.510 0.732
Hg10 0.201 0.732 0.510
Hg11 0.942 0.768 0.990
Hg12 0.299 0.990 0.768
Hg13 0.250 0.250 0.250
Hg14 0.750 0.750 0.750

(17)
VASP calculation (PBE) on crystalline In12Ga5Hg3 at its relaxed geometry.

Fermi-level density of states ... 10.5 states/eV/f.u.
Raw total energy ... -2.322 eV per atom
Magnetization ... 0.000 μB/atom

abc: 14.356 14.356 14.356
angles: 109.47 109.47 109.47
Element x y z (fractional)
Hg1 0.750 0.375 0.125
Hg2 0.875 0.750 0.125
Hg3 0.375 0.750 0.625
Hg4 0.250 0.125 0.375
Hg5 0.875 0.125 0.250
Hg6 0.375 0.625 0.250
Hg7 0.625 0.375 0.750
Hg8 0.125 0.875 0.750
Hg9 0.750 0.875 0.625
Hg10 0.625 0.250 0.375
Hg11 0.125 0.250 0.875
Hg12 0.250 0.625 0.875
Ga1 0.125 0.375 0.250
Ga2 0.000 0.500 0.000
Ga3 0.000 0.000 0.000
Ga4 0.375 0.250 0.125
Ga5 0.500 0.000 0.500
Ga6 0.500 0.500 0.000
Ga7 0.125 0.750 0.375
Ga8 0.750 0.125 0.875
Ga9 0.750 0.625 0.375
Ga10 0.375 0.125 0.750
Ga11 0.625 0.875 0.250
Ga12 0.500 0.500 0.500
Ga13 0.500 0.000 0.000
Ga14 0.000 0.000 0.500
Ga15 0.250 0.375 0.625
Ga16 0.250 0.875 0.125
Ga17 0.000 0.500 0.500
Ga18 0.875 0.250 0.625
Ga19 0.625 0.750 0.875
Ga20 0.875 0.625 0.750
In1 0.724 0.124 0.052
In2 0.328 0.552 0.428
In3 0.948 0.376 0.276
In4 0.552 0.224 0.124
In5 0.600 0.724 0.672
In6 0.948 0.572 0.172
In7 0.328 0.776 0.400
In8 0.072 0.900 0.124
In9 0.572 0.948 0.672
In10 0.724 0.600 0.172
In11 0.776 0.448 0.376
In12 0.828 0.928 0.052
In13 0.124 0.724 0.552
In14 0.376 0.428 0.100
In15 0.100 0.928 0.376
In16 0.400 0.124 0.572
In17 0.100 0.172 0.224
In18 0.448 0.672 0.072
In19 0.828 0.900 0.276
In20 0.124 0.400 0.072
In21 0.376 0.948 0.776
In22 0.572 0.624 0.400
In23 0.928 0.828 0.552
In24 0.776 0.328 0.900
In25 0.428 0.376 0.600
In26 0.072 0.172 0.448
In27 0.224 0.672 0.100
In28 0.172 0.100 0.724
In29 0.624 0.052 0.224
In30 0.876 0.600 0.928
In31 0.552 0.328 0.928
In32 0.600 0.876 0.428
In33 0.900 0.828 0.776
In34 0.900 0.072 0.624
In35 0.876 0.276 0.448
In36 0.172 0.072 0.948
In37 0.624 0.572 0.900
In38 0.428 0.052 0.328
In39 0.276 0.400 0.828
In40 0.224 0.552 0.624
In41 0.928 0.100 0.876
In42 0.672 0.224 0.600
In43 0.448 0.776 0.876
In44 0.052 0.428 0.828
In45 0.400 0.276 0.328
In46 0.052 0.624 0.724
In47 0.672 0.448 0.572
In48 0.276 0.876 0.948